# PBE ThTe6I12, optimized geometry
data_ThTe6I12
_symmetry_space_group_name_H-M 'R -3'
_symmetry_Int_Tables_number 148
_symmetry_space_group_name_Hall '-R 3'
_cell_length_a 13.3447
_cell_length_b 13.3447
_cell_length_c 17.8419
_cell_angle_alpha 90.00
_cell_angle_beta 90.00
_cell_angle_gamma 120.00
loop_
_atom_site_label
_atom_site_type_symbol
_atom_site_fract_x
_atom_site_fract_y
_atom_site_fract_z
Th1 Th 0.0000 0.0000 0.0000
Te1 Te 0.0528 0.9078 0.2763
I1 I 0.0283 0.2002 0.8989
I2 I 0.0429 0.2369 0.4098
# * raw formation energy: -29.2 kJ per mole of atoms


# PBE Dy3MgAg, optimized geometry
data_Dy3MgAg
_symmetry_space_group_name_H-M 'C m c m'
_symmetry_Int_Tables_number 63
_symmetry_space_group_name_Hall '-C 2c 2'
_cell_length_a 5.163
_cell_length_b 20.145
_cell_length_c 5.155
_cell_angle_alpha 90.00
_cell_angle_beta 90.00
_cell_angle_gamma 90.00
loop_
_atom_site_label
_atom_site_type_symbol
_atom_site_fract_x
_atom_site_fract_y
_atom_site_fract_z
Dy1 Dy 0.000 0.058 0.250
Dy2 Dy 0.000 0.249 0.250
Dy3 Dy 0.000 0.437 0.250
Mg1 Mg 0.000 0.154 0.750
Ag1 Ag 0.000 0.338 0.750
# * calculated formation energy: -0.112 eV/atom


# PBE SmDy3Er2, optimized geometry
data_SmDy3Er2
_symmetry_space_group_name_H-M 'C 1 2/c 1'
_symmetry_Int_Tables_number 15
_symmetry_space_group_name_Hall '-C 2yc'
_cell_length_a 17.598
_cell_length_b 7.151
_cell_length_c 6.184
_cell_angle_alpha 90.00
_cell_angle_beta 103.57
_cell_angle_gamma 90.00
loop_
_atom_site_label
_atom_site_type_symbol
_atom_site_fract_x
_atom_site_fract_y
_atom_site_fract_z
Sm1 Sm 0.000 0.125 0.250
Dy1 Dy 0.000 0.375 0.750
Dy2 Dy 0.168 0.375 0.529
Er1 Er 0.168 0.126 0.028
# * calculated formation energy: -0.003 eV/atom


# PBE Pr4SmDy2Ho, optimized geometry
data_Pr4SmDy2Ho
_symmetry_space_group_name_H-M 'P 1 2/m 1'
_symmetry_Int_Tables_number 10
_symmetry_space_group_name_Hall '-P 2y'
_cell_length_a 5.158
_cell_length_b 5.188
_cell_length_c 10.156
_cell_angle_alpha 90.00
_cell_angle_beta 90.05
_cell_angle_gamma 90.00
loop_
_atom_site_label
_atom_site_type_symbol
_atom_site_fract_x
_atom_site_fract_y
_atom_site_fract_z
Pr1 Pr 0.000 0.000 0.248
Pr2 Pr 0.500 0.500 0.249
Sm1 Sm 0.500 0.000 0.500
Dy1 Dy 0.000 0.500 0.500
Dy2 Dy 0.500 0.000 0.000
Ho1 Ho 0.000 0.500 0.000
# * calculated formation energy: 0.015 eV/atom


Material: La4HOsI2
Method: DFT, PBE
State: optimized geometry

CIF file:
```
data_La4HOsI2
_symmetry_space_group_name_H-M 'P 1 2/m 1'
_symmetry_Int_Tables_number 10
_symmetry_space_group_name_Hall '-P 2y'
_cell_length_a 6.960
_cell_length_b 4.197
_cell_length_c 8.555
_cell_angle_alpha 90.00
_cell_angle_beta 106.07
_cell_angle_gamma 90.00
loop_
_atom_site_label
_atom_site_type_symbol
_atom_site_fract_x
_atom_site_fract_y
_atom_site_fract_z
La1 La 0.235 0.000 0.189
La2 La 0.263 0.500 0.815
H1 H 0.000 0.500 0.000
Os1 Os 0.500 0.000 0.000
I1 I 0.000 0.000 0.500
I2 I 0.500 0.500 0.500
```


# PBE NaZnGaBi2, optimized geometry
data_NaZnGaBi2
_symmetry_space_group_name_H-M 'P 4/m m m'
_symmetry_Int_Tables_number 123
_symmetry_space_group_name_Hall '-P 4 2'
_cell_length_a 5.531
_cell_length_b 5.531
_cell_length_c 5.020
_cell_angle_alpha 90.00
_cell_angle_beta 90.00
_cell_angle_gamma 90.00
loop_
_atom_site_label
_atom_site_type_symbol
_atom_site_fract_x
_atom_site_fract_y
_atom_site_fract_z
Na1 Na 0.000 0.000 0.000
Zn1 Zn 0.500 0.500 0.500
Ga1 Ga 0.500 0.500 0.000
Bi1 Bi 0.000 0.500 0.500
# * calculated formation energy: 0.160 eV/atom


# PBE Cd2InRh, optimized geometry
data_Cd2InRh
_symmetry_space_group_name_H-M 'P 4/m m m'
_symmetry_Int_Tables_number 123
_symmetry_space_group_name_Hall '-P 4 2'
_cell_length_a 3.150
_cell_length_b 3.150
_cell_length_c 8.384
_cell_angle_alpha 90.00
_cell_angle_beta 90.00
_cell_angle_gamma 90.00
loop_
_atom_site_label
_atom_site_type_symbol
_atom_site_fract_x
_atom_site_fract_y
_atom_site_fract_z
Cd1 Cd 0.000 0.000 0.203
In1 In 0.500 0.500 0.500
Rh1 Rh 0.500 0.500 0.000
# * calculated formation energy: -0.031 eV/atom


# PBE TePbAu2, optimized geometry
data_TePbAu2
_symmetry_space_group_name_H-M 'C 1 2/m 1'
_symmetry_Int_Tables_number 12
_symmetry_space_group_name_Hall '-C 2y'
_cell_length_a 7.445
_cell_length_b 4.366
_cell_length_c 6.777
_cell_angle_alpha 90.00
_cell_angle_beta 112.28
_cell_angle_gamma 90.00
loop_
_atom_site_label
_atom_site_type_symbol
_atom_site_fract_x
_atom_site_fract_y
_atom_site_fract_z
Te1 Te 0.000 0.000 0.000
Pb1 Pb 0.000 0.500 0.500
Au1 Au 0.244 0.500 0.234
# * ΔE to the lowest computed polymorph: 7 meV/atom
# * raw formation energy: -3.9 kJ per mole of atoms


# PBE Zn2InMo, optimized geometry
data_Zn2InMo
_symmetry_space_group_name_H-M 'P 4/m m m'
_symmetry_Int_Tables_number 123
_symmetry_space_group_name_Hall '-P 4 2'
_cell_length_a 3.463
_cell_length_b 3.463
_cell_length_c 5.803
_cell_angle_alpha 90.00
_cell_angle_beta 90.00
_cell_angle_gamma 90.00
loop_
_atom_site_label
_atom_site_type_symbol
_atom_site_fract_x
_atom_site_fract_y
_atom_site_fract_z
Zn1 Zn 0.000 0.000 0.215
In1 In 0.500 0.500 0.500
Mo1 Mo 0.500 0.500 0.000
# * calculated formation energy: 0.318 eV/atom


# PBE TcHg2O, optimized geometry
data_TcHg2O
_symmetry_space_group_name_H-M 'I -4 2 d'
_symmetry_Int_Tables_number 122
_symmetry_space_group_name_Hall 'I -4 2bw'
_cell_length_a 9.832
_cell_length_b 9.832
_cell_length_c 3.705
_cell_angle_alpha 90.00
_cell_angle_beta 90.00
_cell_angle_gamma 90.00
loop_
_atom_site_label
_atom_site_type_symbol
_atom_site_fract_x
_atom_site_fract_y
_atom_site_fract_z
Tc1 Tc 0.000 0.000 0.000
Hg1 Hg 0.125 0.750 0.625
O1 O 0.000 0.000 0.500
# * raw formation energy: 22.2 kJ per mole of atoms


# PBE Tb3HoTm5, optimized geometry
data_Tb3HoTm5
_symmetry_space_group_name_H-M 'C 1 2/m 1'
_symmetry_Int_Tables_number 12
_symmetry_space_group_name_Hall '-C 2y'
_cell_length_a 15.066
_cell_length_b 11.190
_cell_length_c 9.888
_cell_angle_alpha 90.00
_cell_angle_beta 130.69
_cell_angle_gamma 90.00
loop_
_atom_site_label
_atom_site_type_symbol
_atom_site_fract_x
_atom_site_fract_y
_atom_site_fract_z
Tb1 Tb 0.000 0.000 0.000
Tb2 Tb 0.000 0.500 0.500
Tb3 Tb 0.010 0.000 0.310
Tb4 Tb 0.023 0.500 0.866
Ho1 Ho 0.250 0.000 0.103
Tm1 Tm 0.000 0.239 0.500
Tm2 Tm 0.154 0.249 0.251
Tm3 Tm 0.218 0.000 0.728
Tm4 Tm 0.222 0.500 0.535
# * ΔE to the lowest computed polymorph: 407 meV/atom
# * calculated formation energy: 0.540 eV/atom


# PBE Ba2LaP, optimized geometry
data_Ba2LaP
_symmetry_space_group_name_H-M 'P 4 m m'
_symmetry_Int_Tables_number 99
_symmetry_space_group_name_Hall 'P 4 -2'
_cell_length_a 3.927
_cell_length_b 3.927
_cell_length_c 10.654
_cell_angle_alpha 90.00
_cell_angle_beta 90.00
_cell_angle_gamma 90.00
loop_
_atom_site_label
_atom_site_type_symbol
_atom_site_fract_x
_atom_site_fract_y
_atom_site_fract_z
Ba1 Ba 0.000 0.000 0.000
Ba2 Ba 0.500 0.500 0.363
La1 La 0.000 0.000 0.687
P1 P 0.500 0.500 0.800
# * calculated formation energy: -0.540 eV/atom


Calculated values (Å³ per atom) of V for the records, taken in order: 48.27 26.81 31.52 33.97 30.02 30.71 20.80 25.48 17.39 22.38 35.11 41.07.
Calculated values (eV per atom) of final energy for the records, taken in order: -2.66 -3.76 -4.61 -4.69 -5.38 -2.52 -3.01 -3.39 -3.71 -3.75 -4.00 -4.09.